A relaxed TbCo5B2 crystal, computed with PBE-GGA.

Output
**Crystal system**: orthorhombic
**Magnetic moment**: 0.462 μB/atom
**Formation enthalpy at 0 K**: -0.269 eV/atom

Geometry as CIF:
```
data_TbCo5B2
_symmetry_space_group_name_H-M 'I m m m'
_symmetry_Int_Tables_number 71
_symmetry_space_group_name_Hall '-I 2 2'
_cell_length_a 3.4168
_cell_length_b 6.2188
_cell_length_c 8.4246
_cell_angle_alpha 90.00
_cell_angle_beta 90.00
_cell_angle_gamma 90.00
loop_
_atom_site_label
_atom_site_type_symbol
_atom_site_fract_x
_atom_site_fract_y
_atom_site_fract_z
Tb1 Tb 0.0000 0.0000 0.0000
Co1 Co 0.0000 0.1884 0.3417
Co2 Co 0.0000 0.5000 0.0000
B1 B 0.0000 0.5000 0.2369
```


A relaxed Rb2LaGeF6 crystal, computed with PBE-GGA.

Output
**Raw formation energy**: -2.831 eV/atom
**Crystal system**: tetragonal
**Magnetic moment**: 0.100 μB/atom

Geometry as CIF:
```
data_Rb2LaGeF6
_symmetry_space_group_name_H-M 'I 4/m m m'
_symmetry_Int_Tables_number 139
_symmetry_space_group_name_Hall '-I 4 2'
_cell_length_a 6.4341
_cell_length_b 6.4341
_cell_length_c 11.2657
_cell_angle_alpha 90.00
_cell_angle_beta 90.00
_cell_angle_gamma 90.00
loop_
_atom_site_label
_atom_site_type_symbol
_atom_site_fract_x
_atom_site_fract_y
_atom_site_fract_z
Rb1 Rb 0.0000 0.5000 0.2500
La1 La 0.0000 0.0000 0.0000
Ge1 Ge 0.0000 0.0000 0.5000
F1 F 0.0000 0.0000 0.2035
F2 F 0.2454 0.2454 0.5000
```


A relaxed Tc2AgRu crystal, computed with PBE-GGA.

Output
**ΔE to the lowest computed polymorph**: 283.3 meV per atom
**Crystal system**: tetragonal
**Magnetic moment**: 0.000 μB/atom
**Formation enthalpy at 0 K**: 0.517 eV/atom

Geometry as CIF:
```
data_Tc2AgRu
_symmetry_space_group_name_H-M 'P 4/m m m'
_symmetry_Int_Tables_number 123
_symmetry_space_group_name_Hall '-P 4 2'
_cell_length_a 3.8683
_cell_length_b 3.8683
_cell_length_c 3.9911
_cell_angle_alpha 90.00
_cell_angle_beta 90.00
_cell_angle_gamma 90.00
loop_
_atom_site_label
_atom_site_type_symbol
_atom_site_fract_x
_atom_site_fract_y
_atom_site_fract_z
Tc1 Tc 0.0000 0.5000 0.0000
Ag1 Ag 0.0000 0.0000 0.5000
Ru1 Ru 0.5000 0.5000 0.5000
```


A relaxed ZnGePt3 crystal, computed with PBE-GGA.

Output
**ΔE to the lowest computed polymorph**: 0.0 meV per atom
**Crystal system**: cubic
**Magnetic moment**: 0.000 μB/atom
**Formation enthalpy at 0 K**: 0.441 eV/atom

Geometry as CIF:
```
data_ZnGePt3
_symmetry_space_group_name_H-M 'P m -3 m'
_symmetry_Int_Tables_number 221
_symmetry_space_group_name_Hall '-P 4 2 3'
_cell_length_a 4.6385
_cell_length_b 4.6385
_cell_length_c 4.6385
_cell_angle_alpha 90.00
_cell_angle_beta 90.00
_cell_angle_gamma 90.00
loop_
_atom_site_label
_atom_site_type_symbol
_atom_site_fract_x
_atom_site_fract_y
_atom_site_fract_z
Zn1 Zn 0.0000 0.0000 0.0000
Ge1 Ge 0.5000 0.5000 0.5000
Pt1 Pt 0.0000 0.5000 0.5000
```


A relaxed Fe3Pd2Rh2 crystal, computed with PBE-GGA.

Output
**Crystal system**: triclinic
**Magnetic moment**: 1.775 μB/atom
**Formation enthalpy at 0 K**: 0.086 eV/atom

Geometry as CIF:
```
data_Fe3Pd2Rh2
_symmetry_space_group_name_H-M 'P -1'
_symmetry_Int_Tables_number 2
_cell_length_a 4.1879
_cell_length_b 4.2006
_cell_length_c 7.2660
_cell_angle_alpha 89.98
_cell_angle_beta 73.36
_cell_angle_gamma 60.12
loop_
_symmetry_equiv_pos_as_xyz
'x,y,z'
'-x,-y,-z'
loop_
_atom_site_label
_atom_site_type_symbol
_atom_site_fract_x
_atom_site_fract_y
_atom_site_fract_z
Fe1 Fe 0.0000 0.0000 0.0000
Fe2 Fe 0.4951 0.2512 0.7578
Pd1 Pd 0.2579 0.8698 0.6138
Rh1 Rh 0.2435 0.3791 0.1343
```


A relaxed NpUGa crystal, computed with PBE-GGA.

Output
**ΔE to the lowest computed polymorph**: 0.0 meV per atom
**Crystal system**: orthorhombic
**Magnetic moment**: 0.001 μB/atom
**Formation enthalpy at 0 K**: -0.066 eV/atom

Geometry as CIF:
```
data_NpUGa
_symmetry_space_group_name_H-M 'C m c m'
_symmetry_Int_Tables_number 63
_symmetry_space_group_name_Hall '-C 2c 2'
_cell_length_a 4.6613
_cell_length_b 9.9297
_cell_length_c 4.7795
_cell_angle_alpha 90.00
_cell_angle_beta 90.00
_cell_angle_gamma 90.00
loop_
_atom_site_label
_atom_site_type_symbol
_atom_site_fract_x
_atom_site_fract_y
_atom_site_fract_z
Np1 Np 0.0000 0.2426 0.2500
U1 U 0.0000 0.1295 0.7500
Ga1 Ga 0.0000 0.4375 0.7500
```